[1]
A plane-wave DFT calculation with PBE-GGA was carried out for a geometry-optimized Cd3Cl structure.

Calculated values
SG = Cmmm, No. 65
E = -1.319 eV/atom

abc: 5.478 5.478 3.152
angles: 90.00 90.00 99.65
Fractional coordinates of all 4 atoms:
Cd (0.500, 0.000, 0.500)
Cd (0.000, 0.500, 0.500)
Cd (0.500, 0.500, 0.000)
Cl (0.000, 0.000, 0.000)



[2]
A plane-wave DFT calculation with PBE-GGA was carried out for a geometry-optimized CdCl structure.

Calculated values
SG = R-3m, No. 166
E = -1.792 eV/atom

abc: 4.226 4.226 4.226
angles: 60.39 60.39 60.39
Fractional coordinates of all 2 atoms:
Cl (0.500, 0.500, 0.500)
Cd (0.000, 0.000, 0.000)



Here are the calculated formation energy without anion corrections numbers, same order: -171; -411 (meV per atom).